PBE-GGA Nd3HoZn8, optimized geometry; V = 241.8 Å³ per cell; ΔE to the lowest computed polymorph = 1.6 kJ/mol of atoms; formation enthalpy at 0 K = -0.3032 eV/atom; total moment = 0.0 μB/f.u.
1.0
5.6599 0.0000 0.0000
-2.8299 4.9016 0.0000
0.0000 0.0000 8.7164
Nd Ho Zn
3 1 8
direct
0.0000 0.0000 0.0000
0.0000 0.0000 0.3956
0.3333 0.6667 0.8933
0.3333 0.6667 0.5040
0.0006 0.5003 0.2021
0.3394 0.1697 0.6961
0.4997 0.5003 0.2021
0.4997 0.9994 0.2021
0.6667 0.3333 0.4462
0.6667 0.3333 0.9509
0.8303 0.1697 0.6961
0.8303 0.6606 0.6961